# HgSeI2

Crystalline HgSeI2 at its relaxed geometry (PBE, Alexandria via LeMat-Bulk).

Structure (POSCAR):
```
HgSeI2
1.0
5.632 0.000 0.000
-1.175 7.221 0.000
-2.265 -1.265 9.569
Hg Se I
2 2 4
direct
0.000 0.000 0.000 Hg
0.459 0.634 0.134 Hg
0.151 0.691 0.317 Se
0.883 0.899 0.231 Se
0.228 0.721 0.872 I
0.468 0.912 0.532 I
0.492 0.264 0.180 I
0.815 0.192 0.783 I
```

Values from the calculation:
Calculated volume: 48.6 Å³/atom
Formation energy (no corrections): -0.164 eV/atom
Uncorrected energy: -0.0693 Ha/atom

# SmEr5Sc5

Crystalline SmEr5Sc5 at its relaxed geometry (PBE, Alexandria via LeMat-Bulk).

Structure (POSCAR):
```
SmEr5Sc5
1.0
5.770 0.000 0.000
-2.885 4.997 0.000
0.000 0.000 11.245
Sm Er Sc
1 5 5
direct
0.000 0.000 0.000 Sm
0.000 0.000 0.322 Er
0.000 0.000 0.678 Er
0.333 0.667 0.162 Er
0.333 0.667 0.838 Er
0.667 0.333 0.000 Er
0.502 0.004 0.500 Sc
0.502 0.498 0.500 Sc
0.667 0.333 0.269 Sc
0.667 0.333 0.731 Sc
0.996 0.498 0.500 Sc
```

Values from the calculation:
Calculated volume: 29.5 Å³/atom
Formation energy from the elements: 243 meV/atom
Uncorrected energy: -0.1888 Ha/atom

# Dy6Fe2Hg

Crystalline Dy6Fe2Hg at its relaxed geometry (PBE, Alexandria via LeMat-Bulk).

Structure (POSCAR):
```
Dy6Fe2Hg
1.0
-4.684 4.838 4.966
4.684 -4.838 4.966
4.684 4.838 -4.966
Dy Fe Hg
12 4 2
direct
0.009 0.223 0.785 Dy
0.188 0.293 0.481 Dy
0.188 0.707 0.895 Dy
0.314 0.019 0.705 Dy
0.314 0.609 0.295 Dy
0.438 0.223 0.215 Dy
0.562 0.777 0.785 Dy
0.686 0.391 0.705 Dy
0.686 0.981 0.295 Dy
0.812 0.293 0.105 Dy
0.812 0.707 0.519 Dy
0.991 0.777 0.215 Dy
0.109 0.609 0.500 Fe
0.387 0.000 0.387 Fe
0.613 0.000 0.613 Fe
0.891 0.391 0.500 Fe
0.000 0.000 0.000 Hg
0.500 0.500 0.000 Hg
```

Values from the calculation:
Calculated volume: 25.0 Å³/atom
Formation energy from the elements: -145 meV/atom
Uncorrected energy: -0.1884 Ha/atom

# CrTe2P

Crystalline CrTe2P at its relaxed geometry (PBE, Alexandria via LeMat-Bulk).

Structure (POSCAR):
```
CrTe2P
1.0
3.053 0.000 0.000
0.000 3.053 0.000
0.000 0.000 9.545
Cr Te P
1 2 1
direct
0.000 0.000 0.000 Cr
0.000 0.000 0.444 Te
0.500 0.500 0.822 Te
0.500 0.500 0.125 P
```

Values from the calculation:
Calculated volume: 22.2 Å³/atom
Formation energy (no corrections): 0.170 eV/atom
Uncorrected energy: -0.1896 Ha/atom